Record 1
VASP calculation (PBE-GGA) on a relaxed structure of Tb2CeNpP4.

Summary:
Energy of formation, eV per atom: -1.393
Theoretical density, g cm⁻³: 7.38

Cell and atoms, written as extended XYZ:
```
8
Lattice="6.9659 0.0000 0.0000 0.0000 4.0196 0.0000 -2.3255 0.0000 6.5814" Properties=species:S:1:pos:R:3 pbc="T T T"
Tb 0.0000 0.0000 0.0000
Tb 3.4830 2.0098 0.0000
Ce -1.1627 2.0098 3.2907
Np 2.3202 0.0000 3.2907
P 0.0254 0.0000 4.9276
P 1.1920 2.0098 1.6729
P 3.4484 2.0098 4.9085
P 4.6151 0.0000 1.6538
```



Record 2
VASP calculation (PBE-GGA) on a relaxed structure of TbCeNp2P4.

Summary:
Energy of formation, eV per atom: -1.206
Theoretical density, g cm⁻³: 8.17

Cell and atoms, written as extended XYZ:
```
8
Lattice="6.9410 0.0000 0.0000 0.0000 4.0085 0.0000 -2.3157 0.0000 6.5511" Properties=species:S:1:pos:R:3 pbc="T T T"
Tb 0.0000 0.0000 0.0000
Ce -1.1579 2.0042 3.2756
Np 2.3127 0.0000 3.2756
Np 3.4705 2.0042 0.0000
P 0.0518 0.0000 4.9478
P 1.2162 2.0042 1.6462
P 4.5736 0.0000 1.6033
P 3.4091 2.0042 4.9050
```



Record 3
VASP calculation (PBE-GGA) on a relaxed structure of Ce2ThNpP4.

Summary:
Energy of formation, eV per atom: -1.356
Theoretical density, g cm⁻³: 7.54

Cell and atoms, written as extended XYZ:
```
8
Lattice="7.0660 0.0000 0.0000 0.0000 4.0837 0.0000 -2.3626 0.0000 6.6628" Properties=species:S:1:pos:R:3 pbc="T T T"
Ce 0.0000 0.0000 0.0000
Ce 3.5330 2.0418 0.0000
Th -1.1813 2.0418 3.3314
Np 2.3517 0.0000 3.3314
P 0.0341 0.0000 4.9957
P 1.2189 2.0418 1.7039
P 3.4845 2.0418 4.9589
P 4.6693 0.0000 1.6671
```



Record 4
VASP calculation (PBE-GGA) on a relaxed structure of CeTmNp2P4.

Summary:
Energy of formation, eV per atom: -1.200
Theoretical density, g cm⁻³: 8.39

Cell and atoms, written as extended XYZ:
```
8
Lattice="6.9021 0.0000 0.0000 0.0000 3.9900 0.0000 -2.3062 0.0000 6.5188" Properties=species:S:1:pos:R:3 pbc="T T T"
Ce 0.0000 0.0000 0.0000
Tm -1.1531 1.9950 3.2594
Np 2.2980 0.0000 3.2594
Np 3.4511 1.9950 0.0000
P 0.0363 0.0000 4.8718
P 1.1828 1.9950 1.6772
P 3.4131 1.9950 4.8416
P 4.5596 0.0000 1.6470
```



Record 5
VASP calculation (PBE-GGA) on a relaxed structure of Ce2NpU3P6.

Summary:
Energy of formation, eV per atom: -1.111
Theoretical density, g cm⁻³: 8.77

Cell and atoms, written as extended XYZ:
```
12
Lattice="8.7342 -1.9744 0.0000 8.7342 1.9744 0.0000 -2.0167 0.0000 7.7809" Properties=species:S:1:pos:R:3 pbc="T T T"
Ce 2.2235 0.0000 2.5831
Ce 13.2282 0.0000 5.1978
Np 8.7342 0.0000 0.0000
U 1.2386 0.0000 6.4942
U 7.7258 0.0000 3.8905
U 14.2131 0.0000 1.2867
P -1.4596 0.0000 5.8319
P 3.9487 0.0000 7.1838
P 5.0332 0.0000 3.1887
P 10.4185 0.0000 4.5922
P 11.5030 0.0000 0.5971
P 16.9112 0.0000 1.9491
```



Record 6
VASP calculation (PBE-GGA) on a relaxed structure of CeNp3U2P6.

Summary:
Energy of formation, eV per atom: -0.972
Theoretical density, g cm⁻³: 9.51

Cell and atoms, written as extended XYZ:
```
12
Lattice="3.4453 -5.9344 0.0000 3.4453 5.9344 0.0000 -2.2768 0.0000 6.4627" Properties=species:S:1:pos:R:3 pbc="T T T"
Ce 0.0000 0.0000 0.0000
Np 2.3069 3.9872 3.2314
Np 2.3069 0.0000 3.2314
Np 2.3069 -3.9872 3.2314
U 3.4453 1.9807 0.0000
U 3.4453 -1.9807 0.0000
P 1.1759 2.0206 1.6262
P 0.0629 0.0000 4.8487
P 1.1759 -2.0206 1.6262
P 3.4379 2.0206 4.8366
P 4.5510 0.0000 1.6141
P 3.4379 -2.0206 4.8366
```



Record 7
VASP calculation (PBE-GGA) on a relaxed structure of CeNp2U3P6.

Summary:
Energy of formation, eV per atom: -1.014
Theoretical density, g cm⁻³: 9.44

Cell and atoms, written as extended XYZ:
```
12
Lattice="3.4286 -5.9413 0.0000 3.4286 5.9413 0.0000 -2.2909 0.0000 6.5394" Properties=species:S:1:pos:R:3 pbc="T T T"
Ce 0.0000 0.0000 0.0000
Np 3.4286 1.9854 0.0000
Np 3.4286 -1.9854 0.0000
U 2.2831 3.9845 3.2697
U 2.2831 0.0000 3.2697
U 2.2831 -3.9845 3.2697
P 1.1610 2.0125 1.6702
P 0.0361 0.0000 4.8824
P 1.1610 -2.0125 1.6702
P 3.4052 2.0125 4.8692
P 4.5302 0.0000 1.6571
P 3.4052 -2.0125 4.8692
```



Record 8
VASP calculation (PBE-GGA) on a relaxed structure of Ce2Np3UP6.

Summary:
Energy of formation, eV per atom: -1.073
Theoretical density, g cm⁻³: 8.70

Cell and atoms, written as extended XYZ:
```
12
Lattice="8.6758 -1.9857 0.0000 8.6758 1.9857 0.0000 -1.7357 0.0000 7.8385" Properties=species:S:1:pos:R:3 pbc="T T T"
Ce 2.3014 0.0000 2.6216
Ce 13.3145 0.0000 5.2169
Np 1.4515 0.0000 6.5508
Np 7.8080 0.0000 3.9193
Np 14.1644 0.0000 1.2877
U 8.6758 0.0000 0.0000
P -1.2716 0.0000 5.9118
P 4.1961 0.0000 7.2352
P 5.1032 0.0000 3.2084
P 10.5128 0.0000 4.6301
P 11.4198 0.0000 0.6033
P 16.8875 0.0000 1.9267
```



Record 9
VASP calculation (PBE-GGA) on a relaxed structure of Ce2YNpP4.

Summary:
Energy of formation, eV per atom: -1.371
Theoretical density, g cm⁻³: 6.52

Cell and atoms, written as extended XYZ:
```
8
Lattice="6.9832 0.0000 0.0000 0.0000 4.0394 0.0000 -2.3330 0.0000 6.5963" Properties=species:S:1:pos:R:3 pbc="T T T"
Ce 0.0000 0.0000 0.0000
Ce -1.1665 2.0197 3.2981
Y 2.3251 0.0000 3.2981
Np 3.4916 2.0197 0.0000
P 1.2021 2.0197 1.6395
P 0.0415 0.0000 4.9832
P 4.6088 0.0000 1.6131
P 3.4482 2.0197 4.9568
```



Record 10
VASP calculation (PBE-GGA) on a relaxed structure of CeZr2NpP4.

Summary:
Energy of formation, eV per atom: -1.315
Theoretical density, g cm⁻³: 6.90

Cell and atoms, written as extended XYZ:
```
8
Lattice="6.7098 0.0000 0.0000 0.0000 3.8589 0.0000 -2.2174 0.0000 6.3493" Properties=species:S:1:pos:R:3 pbc="T T T"
Ce 0.0000 0.0000 0.0000
Zr -1.1087 1.9294 3.1746
Zr 2.2462 0.0000 3.1746
Np 3.3549 1.9294 0.0000
P 0.0390 0.0000 4.6755
P 1.1474 1.9294 1.6917
P 3.3450 1.9294 4.6576
P 4.4535 0.0000 1.6737
```



Record 11
VASP calculation (PBE-GGA) on a relaxed structure of Ce2ZrNpP4.

Summary:
Energy of formation, eV per atom: -1.327
Theoretical density, g cm⁻³: 6.92

Cell and atoms, written as extended XYZ:
```
8
Lattice="6.8386 0.0000 0.0000 0.0000 3.9565 0.0000 -2.2643 0.0000 6.4908" Properties=species:S:1:pos:R:3 pbc="T T T"
Ce 0.0000 0.0000 0.0000
Ce 3.4193 1.9783 0.0000
Zr -1.1322 1.9783 3.2454
Np 2.2871 0.0000 3.2454
P -0.0217 0.0000 4.7577
P 1.1025 1.9783 1.7179
P 3.4717 1.9783 4.7729
P 4.5960 0.0000 1.7331
```



Record 12
VASP calculation (PBE-GGA) on a relaxed structure of Ce2NpPa.

Summary:
Energy of formation, eV per atom: 0.670
Theoretical density, g cm⁻³: 12.08

Cell and atoms, written as extended XYZ:
```
4
Lattice="1.7558 1.0137 9.6334 -1.7558 1.0137 9.6334 0.0000 -2.0274 9.6334" Properties=species:S:1:pos:R:3 pbc="T T T"
Ce 0.0000 0.0000 3.2213
Ce 0.0000 0.0000 25.6787
Np 0.0000 0.0000 14.4500
Pa 0.0000 0.0000 0.0000
```



Record 13
VASP calculation (PBE-GGA) on a relaxed structure of Ce2NpPa.

Summary:
Energy of formation, eV per atom: 0.197
Theoretical density, g cm⁻³: 12.82

Cell and atoms, written as extended XYZ:
```
4
Lattice="4.4225 0.0000 0.0000 0.0000 4.4225 0.0000 0.0000 0.0000 4.9552" Properties=species:S:1:pos:R:3 pbc="T T T"
Ce 0.0000 2.2113 0.0000
Ce 2.2113 0.0000 0.0000
Np 0.0000 0.0000 2.4776
Pa 2.2113 2.2113 2.4776
```



Record 14
VASP calculation (PBE-GGA) on a relaxed structure of CeNpPa.

Summary:
Energy of formation, eV per atom: 0.218
Theoretical density, g cm⁻³: 13.93

Cell and atoms, written as extended XYZ:
```
3
Lattice="-1.6408 1.6408 6.7302 1.6408 -1.6408 6.7302 1.6408 1.6408 -6.7302" Properties=species:S:1:pos:R:3 pbc="T T T"
Ce 0.0000 0.0000 0.0000
Np 0.0000 0.0000 4.4741
Pa 0.0000 0.0000 9.0894
```



Record 15
VASP calculation (PBE-GGA) on a relaxed structure of CeNpPa.

Summary:
Energy of formation, eV per atom: 0.191
Theoretical density, g cm⁻³: 15.07

Cell and atoms, written as extended XYZ:
```
12
Lattice="5.9555 0.0000 0.0000 0.0000 5.0440 0.0000 0.0000 0.0000 8.9231" Properties=species:S:1:pos:R:3 pbc="T T T"
Ce 0.1016 1.2610 1.4745
Ce 2.8761 3.7830 5.9360
Ce 3.0794 1.2610 2.9871
Ce 5.8538 3.7830 7.4486
Np 0.9338 1.2610 7.8912
Np 2.0439 3.7830 3.4296
Np 3.9115 1.2610 5.4935
Np 5.0217 3.7830 1.0319
Pa 0.5500 1.2610 5.2241
Pa 2.4278 3.7830 0.7625
Pa 3.5277 1.2610 8.1606
Pa 5.4055 3.7830 3.6990
```



Record 16
VASP calculation (PBE-GGA) on a relaxed structure of CeNp2PaS4.

Summary:
ΔE_f (raw), meV per atom: -1616
Theoretical density, g cm⁻³: 9.51

Cell and atoms, written as extended XYZ:
```
8
Lattice="6.7488 0.0000 0.0000 0.0000 3.9257 0.0000 -2.2818 0.0000 6.4147" Properties=species:S:1:pos:R:3 pbc="T T T"
Ce 0.0000 0.0000 0.0000
Np 2.2335 0.0000 3.2074
Np 3.3744 1.9629 0.0000
Pa -1.1409 1.9629 3.2074
S 0.0247 0.0000 4.8078
S 1.1619 1.9629 1.6429
S 3.3050 1.9629 4.7718
S 4.4423 0.0000 1.6069
```



Record 17
VASP calculation (PBE-GGA) on a relaxed structure of Ce2NpPaSb4.

Summary:
ΔE_f (raw), meV per atom: -687
Theoretical density, g cm⁻³: 8.27

Cell and atoms, written as extended XYZ:
```
8
Lattice="7.6714 0.0000 0.0000 0.0000 4.4449 0.0000 -2.5753 0.0000 7.2768" Properties=species:S:1:pos:R:3 pbc="T T T"
Ce 0.0000 0.0000 0.0000
Ce 3.8357 2.2225 0.0000
Np -1.2877 2.2225 3.6384
Pa 2.5480 0.0000 3.6384
Sb -0.0009 0.0000 5.4078
Sb 1.2876 2.2225 1.8714
Sb 3.8084 2.2225 5.4054
Sb 5.0969 0.0000 1.8690
```



Record 18
VASP calculation (PBE-GGA) on a relaxed structure of CeNpPa2Sb4.

Summary:
ΔE_f (raw), meV per atom: -533
Theoretical density, g cm⁻³: 9.07

Cell and atoms, written as extended XYZ:
```
8
Lattice="7.6269 0.0000 0.0000 0.0000 4.4245 0.0000 -2.5724 0.0000 7.1944" Properties=species:S:1:pos:R:3 pbc="T T T"
Ce 0.0000 0.0000 0.0000
Np -1.2862 2.2123 3.5972
Pa 2.5272 0.0000 3.5972
Pa 3.8134 2.2123 0.0000
Sb 0.0083 0.0000 5.3895
Sb 1.2987 2.2123 1.8252
Sb 3.7558 2.2123 5.3692
Sb 5.0462 0.0000 1.8049
```



Record 19
VASP calculation (PBE-GGA) on a relaxed structure of CeNpPaTc.

Summary:
Energy of formation, eV per atom: 0.183
Theoretical density, g cm⁻³: 13.77

Cell and atoms, written as extended XYZ:
```
4
Lattice="0.0000 3.4916 3.4916 3.4916 0.0000 3.4916 3.4916 3.4916 0.0000" Properties=species:S:1:pos:R:3 pbc="T T T"
Ce 0.0000 0.0000 0.0000
Np 1.7458 1.7458 1.7458
Pa 3.4916 3.4916 3.4916
Tc 5.2374 5.2374 5.2374
```



Record 20
VASP calculation (PBE-GGA) on a relaxed structure of CeThNpPa.

Summary:
Energy of formation, eV per atom: 0.394
Theoretical density, g cm⁻³: 13.38

Cell and atoms, written as extended XYZ:
```
4
Lattice="0.0000 3.7354 3.7354 3.7354 0.0000 3.7354 3.7354 3.7354 0.0000" Properties=species:S:1:pos:R:3 pbc="T T T"
Ce 0.0000 0.0000 0.0000
Th 1.8677 1.8677 1.8677
Np 3.7354 3.7354 3.7354
Pa 5.6031 5.6031 5.6031
```



Record 21
VASP calculation (PBE-GGA) on a relaxed structure of CeNpPb2.

Summary:
Energy of formation, eV per atom: -0.073
Theoretical density, g cm⁻³: 11.56

Cell and atoms, written as extended XYZ:
```
4
Lattice="3.4896 0.0000 0.0000 0.0000 3.4896 0.0000 0.0000 0.0000 9.3362" Properties=species:S:1:pos:R:3 pbc="T T T"
Ce 0.0000 0.0000 0.0000
Np 0.0000 0.0000 4.6681
Pb 1.7448 1.7448 2.3711
Pb 1.7448 1.7448 6.9652
```



Record 22
VASP calculation (PBE-GGA) on a relaxed structure of CeNpPb2.

Summary:
Energy of formation, eV per atom: -0.042
Theoretical density, g cm⁻³: 11.54

Cell and atoms, written as extended XYZ:
```
4
Lattice="5.9813 0.0000 0.0000 0.0000 5.9813 0.0000 0.0000 0.0000 3.1828" Properties=species:S:1:pos:R:3 pbc="T T T"
Ce 0.0000 0.0000 0.0000
Np 2.9906 2.9906 0.0000
Pb 0.0000 2.9906 1.5914
Pb 2.9906 0.0000 1.5914
```



Record 23
VASP calculation (PBE-GGA) on a relaxed structure of CeNpPb2.

Summary:
Energy of formation, eV per atom: 0.290
Theoretical density, g cm⁻³: 11.36

Cell and atoms, written as extended XYZ:
```
4
Lattice="1.6399 0.9468 12.4222 -1.6399 0.9468 12.4222 0.0000 -1.8936 12.4222" Properties=species:S:1:pos:R:3 pbc="T T T"
Ce 0.0000 0.0000 0.0000
Np 0.0000 0.0000 18.6333
Pb 0.0000 0.0000 3.3102
Pb 0.0000 0.0000 33.9563
```



Record 24
VASP calculation (PBE-GGA) on a relaxed structure of CeNp2Pd9.

Summary:
Energy of formation, eV per atom: -0.571
Theoretical density, g cm⁻³: 12.15

Cell and atoms, written as extended XYZ:
```
12
Lattice="4.1519 0.0000 0.0000 0.0000 4.1519 0.0000 0.0000 0.0000 12.4618" Properties=species:S:1:pos:R:3 pbc="T T T"
Ce 0.0000 0.0000 0.0000
Np 0.0000 0.0000 4.1620
Np 0.0000 0.0000 8.2997
Pd 0.0000 2.0760 2.0750
Pd 0.0000 2.0760 6.2309
Pd 0.0000 2.0760 10.3868
Pd 2.0760 0.0000 2.0750
Pd 2.0760 0.0000 6.2309
Pd 2.0760 0.0000 10.3868
Pd 2.0760 2.0760 0.0000
Pd 2.0760 2.0760 4.1539
Pd 2.0760 2.0760 8.3079
```



Record 25
VASP calculation (PBE-GGA) on a relaxed structure of CeNpPd.

Summary:
Energy of formation, eV per atom: -0.329
Theoretical density, g cm⁻³: 12.12

Cell and atoms, written as extended XYZ:
```
12
Lattice="4.6261 0.0000 0.0000 0.0000 3.5530 0.0000 0.0000 0.0000 16.1213" Properties=species:S:1:pos:R:3 pbc="T T T"
Ce 1.0303 0.8882 2.3257
Ce 1.2828 2.6647 10.3864
Ce 3.3433 0.8882 5.7349
Ce 3.5959 2.6647 13.7956
Np 0.7741 2.6647 7.8214
Np 1.5389 0.8882 15.8821
Np 3.0872 2.6647 0.2392
Np 3.8520 0.8882 8.2999
Pd 1.0519 2.6647 4.8796
Pd 1.2612 0.8882 12.9403
Pd 3.3649 2.6647 3.1810
Pd 3.5743 0.8882 11.2417
```